# Ce2In2Au15 PBE optimized geometry
data_Ce2In2Au15
_space_group_name_H-M_alt 'R -3 m'
_space_group_IT_number 166
_space_group_name_Hall '-R 3 2"'
_cell_length_a 9.6201
_cell_length_b 9.6201
_cell_length_c 14.8144
_cell_angle_alpha 90.00
_cell_angle_beta 90.00
_cell_angle_gamma 120.00
loop_
_atom_site_label
_atom_site_fract_x
_atom_site_fract_y
_atom_site_fract_z
_atom_site_occupancy
Ce1 0.0000 0.0000 0.1529 1
In1 0.0000 0.0000 0.3975 1
Au1 0.0000 0.3044 0.5000 1
Au2 0.0000 0.5000 0.0000 1
Au3 0.0159 0.5079 0.6421 1
# Crystal system: trigonal
# Raw total energy: -3.76 eV per atom
# D(E_F): 1.158 states/eV per atom
# M_tot: 2.17 μB per formula unit